TiBr2Cl2 | SCAN | single point on PBEsol structure

Values from the calculation:
Raw formation energy, eV per atom: -0.39
Crystal system: tetragonal
Space-group type: I4/mmm (139)

Unit cell a=10.358 b=10.358 c=10.358 alpha=160.96 beta=160.96 gamma=27.05
Element x y z (fractional)
Ti (0.000, 0.000, 0.000)
Br (0.423, 0.423, 0.000)
Br (0.577, 0.577, 0.000)
Cl (0.250, 0.750, 0.500)
Cl (0.750, 0.250, 0.500)